CoAuF2 PBE with a Hubbard U optimized geometry; mass density = 6.93 g cm⁻³; spin magnetization = 3.00 μB per formula unit; calculated volume = 70.5 Å³ per cell; Fermi-level density of states = 0.067 states/eV/atom; total energy = -4.4039 eV/atom
1.0
-1.0454 2.3151 9.0041
1.7886 3.1375 8.6304
-0.4101 5.0013 7.8959
F Co Au
2 1 1
Cartesian
0.2907 9.1212 22.2757 F
0.0425 1.3327 3.2547 F
0.1666 5.2270 12.7652 Co
0.0000 0.0000 0.0000 Au